<P>
A plane-wave DFT calculation with PBE was carried out for SmYZn4 after structural relaxation.

Cell: 4.5001 5.7458 5.7458 Å, 77.16 66.95 66.95°
Last column: nearest neighbours and their distance in Å.
Atoms (fractional coordinates):
Sm (0.0000, 0.0000, 0.0000)  12 Zn 3.15-3.16
Y (0.0000, 0.5000, 0.5000)  12 Zn 3.15-3.16
Zn (0.6664, 0.5823, 0.0848)  3 Zn 2.59-2.60
Zn (0.3336, 0.9152, 0.4177)  3 Zn 2.59-2.60
Zn (0.3336, 0.4177, 0.9152)  3 Zn 2.59-2.60
Zn (0.6664, 0.0848, 0.5823)  3 Zn 2.59-2.60

Computed properties:
Crystal system: orthorhombic



<Q>
A plane-wave DFT calculation with PBE was carried out for SmYZn4 after structural relaxation.

Cell: 5.5029 5.5029 5.5029 Å, 60.00 60.00 60.00°
Last column: nearest neighbours and their distance in Å.
Atoms (fractional coordinates):
Y (0.0000, 0.0000, 0.0000)  12 Zn 3.23, 4 Sm 3.37
Zn (0.6251, 0.6251, 0.1248)  6 Zn 2.75
Zn (0.6251, 0.1248, 0.6251)  6 Zn 2.75
Zn (0.6251, 0.6251, 0.6251)  6 Zn 2.75
Zn (0.1248, 0.6251, 0.6251)  6 Zn 2.75
Sm (0.2500, 0.2500, 0.2500)  12 Zn 3.23, 4 Y 3.37

Computed properties:
Crystal system: cubic



Name the most stable of them. <P>.